Entry 1:
## KTa2As (PBE)

Data for an optimized crystal structure of KTa2As.

Cell: 3.188 3.188 9.435 Å, 90.00 90.00 90.00°
Fractional coordinates of all 4 atoms:
As: 0.500 0.500 0.250
Ta: 0.000 0.000 0.404
Ta: 0.000 0.000 0.096
K: 0.500 0.500 0.750

Computed properties:
As for the crystal system: tetragonal. Its symmetry is P4/mmm (123). The value obtained for the theoretical density is 8.24 g/cm³. The total energy is -6.798 eV/atom.

***

Entry 2:
## KTa2As (PBE)

Data for an optimized crystal structure of KTa2As.

Cell: 3.019 3.019 9.952 Å, 90.00 90.00 104.79°
Fractional coordinates of all 4 atoms:
As: 0.000 0.000 0.455
Ta: 0.500 0.500 0.266
Ta: 0.000 0.000 0.054
K: 0.500 0.500 0.725

Computed properties:
As for the crystal system: orthorhombic. Its symmetry is Cmm2 (35). The value obtained for the theoretical density is 9.01 g/cm³. The total energy is -7.163 eV/atom.

***

Entry 3:
## KTa2As (PBE)

Data for an optimized crystal structure of KTa2As.

Cell: 6.427 6.427 6.427 Å, 153.84 123.53 63.26°
Site moments in Bohr magnetons follow the coordinates.
Fractional coordinates of all 4 atoms:
As: 0.534 0.534 0.000  0.00
Ta: 0.952 0.952 0.000  -0.02
Ta: 0.746 0.246 0.500  0.36
K: 0.268 0.768 0.500  0.02

Computed properties:
As for the crystal system: orthorhombic. Its symmetry is Imm2 (44). The value obtained for the theoretical density is 8.16 g/cm³. The total energy is -6.476 eV/atom.

***

Entry 4:
## KTa2As (PBE)

Data for an optimized crystal structure of KTa2As.

Cell: 4.688 4.688 7.617 Å, 81.93 81.93 39.94°
Fractional coordinates of all 4 atoms:
Ta: 0.024 0.024 0.892
Ta: 0.755 0.755 0.734
As: 0.488 0.488 0.612
K: 0.232 0.232 0.262

Computed properties:
As for the crystal system: monoclinic. Its symmetry is Cm (8). The value obtained for the theoretical density is 7.44 g/cm³. The total energy is -6.961 eV/atom.